# 1
AcErO3: relaxed, PBE.

```
AcErO3
1.0
5.8659 0.0432 1.7571
2.6543 5.2312 1.7571
0.1223 0.0757 10.5349
Ac O Er
4 12 4
Direct
0.9267 0.3477 0.8643
0.0733 0.6523 0.1357
0.3477 0.9267 0.3643
0.6523 0.0733 0.6357
0.1405 0.1930 0.1473
0.1546 0.7108 0.5675
0.8454 0.2892 0.4325
0.6785 0.6285 0.6708
0.8070 0.8595 0.3527
0.6285 0.6785 0.1708
0.3215 0.3715 0.3292
0.1930 0.1405 0.6473
0.3715 0.3215 0.8292
0.2892 0.8454 0.9325
0.7108 0.1546 0.0675
0.8595 0.8070 0.8527
0.2670 0.7330 0.7500
0.7330 0.2670 0.2500
0.0000 0.5000 0.5000
0.5000 0.0000 0.0000
```

The calculation puts the total energy at -163.6 eV for the cell shown. The formation energy without anion corrections comes out at -3.47 eV/atom. For the magnetization, the calculation gives 0.000 μB/cell. Its space group is C2/c, No. 15.

***

# 2
Bi2TeIr: relaxed, PBE.

```
Bi2TeIr
1.0
-2.8701 -0.8182 6.0329
-4.4271 -4.2979 -2.6891
0.3407 -7.4404 2.9077
Ir Bi Te
2 4 2
Direct
0.0000 0.0000 0.0000
0.7500 0.2500 0.5000
0.8750 0.9406 0.7500
0.3750 0.3094 0.7500
0.0594 0.6250 0.2500
0.6906 0.1250 0.2500
0.5000 0.5000 0.0000
0.2500 0.7500 0.5000
```

The calculation puts the total energy at -37.2 eV for the cell shown. The formation energy without anion corrections comes out at 0.29 eV/atom. For the magnetization, the calculation gives 0.000 μB/cell. Its space group is I-42d, No. 122.

***

# 3
La3GeH: relaxed, PBE.

```
La3GeH
1.0
-2.9708 -2.8634 2.7451
3.6580 -0.6511 3.2796
-1.5342 3.9922 2.5038
La Ge H
3 1 1
Direct
0.0000 0.0000 0.5000
0.5000 0.0000 0.0000
0.0000 0.5000 0.0000
0.5000 0.5000 0.5000
0.0000 0.0000 0.0000
```

The calculation puts the total energy at -24.9 eV for the cell shown. Its energy above the most stable polymorph in this dataset is 0.44 eV/f.u. For the magnetization, the calculation gives 0.000 μB/cell. Its space group is Pm-3m, No. 221.

***

# 4
KSi2Mo: relaxed, PBE.

```
KSi2Mo
1.0
5.6970 0.0000 0.0000
0.0000 5.6970 0.0000
2.8485 2.8485 7.5885
Si K Mo
4 2 2
Direct
0.3750 0.1251 0.7500
0.8749 0.1250 0.2500
0.8750 0.1249 0.7500
0.8751 0.6250 0.2500
0.2500 0.7500 0.5000
0.5000 0.5000 0.0000
0.0000 0.0000 0.0000
0.7500 0.2500 0.5000
```

The calculation puts the total energy at -41.8 eV for the cell shown. Its energy above the most stable polymorph in this dataset is 1.55 eV/f.u. The formation energy without anion corrections comes out at 0.46 eV/atom. For the magnetization, the calculation gives 1.816 μB/cell. Its space group is I4_1/amd, No. 141.

***

# 5
ScRe3: relaxed, PBE.

```
ScRe3
1.0
5.2128 0.0000 0.0000
0.0000 9.3220 0.0000
0.0000 0.0000 5.3534
Re Sc
12 4
Direct
0.5538 0.7500 0.3438
0.0538 0.7500 0.1562
0.4462 0.2500 0.6562
0.2767 0.9790 0.3823
0.9462 0.2500 0.8438
0.7767 0.9790 0.1177
0.7233 0.0210 0.6177
0.2233 0.4790 0.8823
0.2233 0.0210 0.8823
0.2767 0.5210 0.3823
0.7767 0.5210 0.1177
0.7233 0.4790 0.6177
0.4960 0.7500 0.8498
0.9960 0.7500 0.6502
0.5040 0.2500 0.1502
0.0040 0.2500 0.3498
```

The calculation puts the total energy at -173.8 eV for the cell shown. Its energy above the most stable polymorph in this dataset is 0.53 eV/f.u. For the magnetization, the calculation gives 0.000 μB/cell. Its space group is Pnma, No. 62. The calculation puts the energy of formation at 55 meV/atom.

***

# 6
Hf2Zn2Ag: relaxed, PBE.

```
Hf2Zn2Ag
1.0
4.1535 0.0000 -1.2149
0.0000 3.0609 0.0000
-0.1717 0.0000 7.1272
Zn Hf Ag
2 2 1
Direct
0.2000 0.0000 0.4002
0.8000 0.0000 0.5998
0.3824 0.5000 0.7646
0.6176 0.5000 0.2354
0.0000 0.0000 0.0000
```

The calculation puts the total energy at -25.8 eV for the cell shown. Its energy above the most stable polymorph in this dataset is 0.19 eV/f.u. For the magnetization, the calculation gives 0.000 μB/cell. Its space group is Cmmm, No. 65. The calculation puts the energy of formation at -95 meV/atom.

***

# 7
TaFe2Ir: relaxed, PBE.

```
TaFe2Ir
1.0
4.5239 -0.0139 0.0000
-1.3408 4.3207 0.0000
0.0000 0.0000 2.7579
Fe Ir Ta
2 1 1
Direct
0.0000 0.0000 0.0000
0.5000 0.5000 0.0000
0.5000 0.0000 0.5000
0.0000 0.5000 0.5000
```

The calculation puts the total energy at -37.9 eV for the cell shown. Its energy above the most stable polymorph in this dataset is 0.84 eV/f.u. For the magnetization, the calculation gives 1.069 μB/cell. Its space group is Cmmm, No. 65. The calculation puts the energy of formation at -62 meV/atom.

***

# 8
MnIn2Br: relaxed, PBE.

```
MnIn2Br
1.0
-3.9168 -5.0065 0.2687
1.3617 -5.1871 3.4231
-0.1359 6.3334 0.5901
In Br Mn
2 1 1
Direct
0.0000 0.0000 0.0000
0.2500 0.7500 0.5000
0.7500 0.2500 0.5000
0.5000 0.5000 0.0000
```

The calculation puts the total energy at -15.3 eV for the cell shown. Its energy above the most stable polymorph in this dataset is 0.94 eV/f.u. The formation energy without anion corrections comes out at 0.24 eV/atom. For the magnetization, the calculation gives 4.257 μB/cell. Its space group is I-4m2, No. 119.

***

# 9
LiSc4Ga2: relaxed, PBE.

```
LiSc4Ga2
1.0
-3.5362 -3.0551 0.7305
-0.1172 -4.0922 -2.3690
2.7537 -5.6689 4.9343
Li Sc Ga
1 4 2
Direct
0.0000 0.0000 0.0000
0.1316 0.1316 0.6051
0.3857 0.3857 0.8430
0.6143 0.6143 0.1570
0.8684 0.8684 0.3949
0.7429 0.7429 0.7712
0.2571 0.2571 0.2288
```

The calculation puts the total energy at -35.6 eV for the cell shown. For the magnetization, the calculation gives 0.806 μB/cell. Its space group is R-3m, No. 166. The calculation puts the energy of formation at -332 meV/atom.

***

# 10
CoSiRh: relaxed, PBE.

```
CoSiRh
1.0
-0.4280 -0.7032 -3.8675
0.3984 -3.0162 2.5257
-2.7312 -0.0935 0.3193
Si Co Rh
1 1 1
Direct
0.6667 0.3333 0.7560
0.0000 0.0000 0.8766
0.3333 0.6667 0.3674
```

The calculation puts the total energy at -21.0 eV for the cell shown. The formation energy without anion corrections comes out at -0.37 eV/atom. For the magnetization, the calculation gives 1.284 μB/cell. Its space group is P3m1, No. 156.

***

# 11
BaLi2Co2: relaxed, PBE.

```
BaLi2Co2
1.0
4.4103 0.0000 0.0000
0.0000 4.4103 0.0000
2.2051 2.2051 5.5123
Co Li Ba
2 2 1
Direct
0.5974 0.5974 0.8052
0.4026 0.4026 0.1948
0.7500 0.2500 0.5000
0.2500 0.7500 0.5000
0.0000 0.0000 0.0000
```

The calculation puts the total energy at -17.9 eV for the cell shown. For the magnetization, the calculation gives 2.341 μB/cell. Its space group is I4/mmm, No. 139. The calculation puts the energy of formation at 420 meV/atom.

***

# 12
Ba2NpI8: relaxed, PBE.

```
Ba2NpI8
1.0
6.9449 0.0000 -3.3081
0.0441 8.5525 0.0926
0.3211 0.1235 9.6181
I Ba Np
8 2 1
Direct
0.2343 0.2649 0.9599
0.7657 0.7351 0.0401
0.3154 0.5717 0.6308
0.2744 0.7351 0.0401
0.6846 0.4283 0.3692
0.8321 0.9497 0.6641
0.7256 0.2649 0.9599
0.1679 0.0503 0.3359
0.1357 0.4574 0.2715
0.8643 0.5426 0.7286
0.0000 0.0000 0.0000
```

The calculation puts the total energy at -43.2 eV for the cell shown. The formation energy without anion corrections comes out at -1.27 eV/atom. For the magnetization, the calculation gives 3.000 μB/cell. Its space group is C2/m, No. 12.